Compound: TaRe2Os
Source: Alexandria via LeMat-Bulk
Functional: PBE
Structure: optimized geometry

Computed properties:
* crystal system: monoclinic
* calculated total energy: -11.97 eV/atom
* space group: P2/m, No. 10
* polymorph energy (0 for the lowest one): 0.038 eV/atom
* energy relative to the elements: 21 meV per atom

Cell: 4.800 2.826 4.840 Å, 90.00 108.42 90.00°
Sites, in units of the cell vectors:
Ta 0.000 0.000 0.000
Re 0.000 0.500 0.500
Re 0.500 0.000 0.500
Os 0.500 0.500 0.000